Record 1
# HoZnPd

A relaxed HoZnPd crystal (GGA-PBE, the Alexandria database).

## Properties
ΔH_f (0 K)	-707	meV/atom
space group	C2/m

Cell and atoms, written as POSCAR:
```
HoZnPd
1.0
9.988 0.000 0.000
0.000 4.420 0.000
-4.190 0.000 5.328
Ho Zn Pd
4 4 4
Direct
0.051 0.000 0.304
0.449 0.500 0.696
0.551 0.500 0.304
0.949 0.000 0.696
0.165 0.500 0.100
0.335 0.000 0.900
0.665 0.000 0.100
0.835 0.500 0.900
0.169 0.500 0.706
0.331 0.000 0.294
0.669 0.000 0.706
0.831 0.500 0.294
```

=====

Record 2
# AcAl2Zn9

A relaxed AcAl2Zn9 crystal (GGA-PBE, the Alexandria database).

## Properties
ΔH_f (0 K)	-179	meV/atom
space group	I4_1/amd

Cell and atoms, written as POSCAR:
```
AcAl2Zn9
1.0
-5.380 5.380 3.583
5.380 -5.380 3.583
5.380 5.380 -3.583
Ac Al Zn
2 4 18
Direct
0.375 0.625 0.750
0.625 0.375 0.250
0.000 0.000 0.000
0.000 0.000 0.500
0.000 0.500 0.000
0.500 0.000 0.500
0.125 0.875 0.250
0.132 0.554 0.333
0.132 0.799 0.578
0.201 0.279 0.333
0.201 0.868 0.922
0.279 0.201 0.833
0.279 0.446 0.078
0.446 0.279 0.578
0.446 0.868 0.167
0.554 0.132 0.833
0.554 0.721 0.422
0.721 0.554 0.922
0.721 0.799 0.167
0.799 0.132 0.078
0.799 0.721 0.667
0.868 0.201 0.422
0.868 0.446 0.667
0.875 0.125 0.750
```

=====

Record 3
# CsBaBr3

A relaxed CsBaBr3 crystal (GGA-PBE, the Alexandria database).

## Properties
space group	C2/c

Cell and atoms, written as POSCAR:
```
CsBaBr3
1.0
7.681 -4.436 0.000
7.681 4.436 0.000
-4.923 0.000 13.996
Cs Ba Br
4 4 12
Direct
0.047 0.670 0.868
0.330 0.953 0.632
0.670 0.047 0.368
0.953 0.330 0.132
0.000 0.500 0.500
0.267 0.733 0.250
0.500 0.000 0.000
0.733 0.267 0.750
0.125 0.208 0.866
0.152 0.704 0.430
0.208 0.125 0.366
0.296 0.848 0.070
0.316 0.392 0.679
0.392 0.316 0.179
0.608 0.684 0.821
0.684 0.608 0.321
0.704 0.152 0.930
0.792 0.875 0.634
0.848 0.296 0.570
0.875 0.792 0.134
```

=====

Record 4
# LaGe3Se

A relaxed LaGe3Se crystal (GGA-PBE, the Alexandria database).

## Properties
space group	Pm-3m

Cell and atoms, written as POSCAR:
```
LaGe3Se
1.0
5.677 0.000 0.000
0.000 5.677 0.000
0.000 0.000 5.677
La Ge Se
1 3 1
Direct
0.000 0.000 0.000
0.000 0.000 0.500
0.000 0.500 0.000
0.500 0.000 0.000
0.500 0.500 0.500
```

=====

Record 5
# KRbTl4Au2

A relaxed KRbTl4Au2 crystal (GGA-PBE, the Alexandria database).

## Properties
ΔH_f (0 K)	-108	meV/atom
space group	P4/mmm

Cell and atoms, written as POSCAR:
```
KRbTl4Au2
1.0
4.649 0.000 0.000
0.000 4.649 0.000
0.000 0.000 12.963
K Rb Tl Au
1 1 4 2
Direct
0.000 0.000 0.000
0.000 0.000 0.500
0.000 0.500 0.258
0.000 0.500 0.742
0.500 0.000 0.258
0.500 0.000 0.742
0.500 0.500 0.105
0.500 0.500 0.895
```

=====

Record 6
# V3C2

A relaxed V3C2 crystal (GGA-PBE, the Alexandria database).

## Properties
ΔH_f (0 K)	-439	meV/atom
space group	P2_1/m

Cell and atoms, written as POSCAR:
```
V3C2
1.0
5.008 0.000 0.000
0.000 2.940 0.000
-1.430 0.000 7.060
V C
6 4
Direct
0.026 0.250 0.333
0.261 0.250 0.000
0.449 0.250 0.656
0.551 0.750 0.344
0.739 0.750 0.000
0.974 0.750 0.667
0.237 0.750 0.481
0.361 0.750 0.842
0.639 0.250 0.158
0.763 0.250 0.519
```

=====

Record 7
# Pr2ErTmTl2

A relaxed Pr2ErTmTl2 crystal (GGA-PBE, the Alexandria database).

## Properties
ΔH_f (0 K)	-260	meV/atom
space group	Pmc2_1

Cell and atoms, written as POSCAR:
```
Pr2ErTmTl2
1.0
5.129 0.000 0.000
0.000 10.236 0.000
0.000 0.000 6.879
Pr Er Tm Tl
4 2 2 4
Direct
0.000 0.044 0.000
0.000 0.956 0.500
0.500 0.189 0.266
0.500 0.811 0.766
0.500 0.460 0.899
0.500 0.540 0.399
0.000 0.317 0.617
0.000 0.683 0.117
0.000 0.379 0.156
0.000 0.621 0.656
0.500 0.149 0.739
0.500 0.851 0.239
```

=====

Record 8
# NaCe2AgSe4

A relaxed NaCe2AgSe4 crystal (GGA-PBE, the Alexandria database).

## Properties
space group	P2/m

Cell and atoms, written as POSCAR:
```
NaCe2AgSe4
1.0
7.106 0.000 0.000
0.000 4.308 0.000
-2.697 0.000 6.959
Na Ce Ag Se
1 2 1 4
Direct
0.000 0.000 0.000
0.500 0.000 0.500
0.500 0.500 0.000
0.000 0.500 0.500
0.251 0.000 0.746
0.257 0.500 0.251
0.743 0.500 0.749
0.749 0.000 0.254
```

=====

Record 9
# Cs2UNi2Se6

A relaxed Cs2UNi2Se6 crystal (GGA-PBE, the Alexandria database).

## Properties
space group	C2/m

Cell and atoms, written as POSCAR:
```
Cs2UNi2Se6
1.0
6.513 -3.766 0.000
6.513 3.766 0.000
-6.247 0.000 6.526
Cs U Ni Se
2 1 2 6
Direct
0.224 0.224 0.220
0.776 0.776 0.780
0.000 0.000 0.500
0.499 0.499 0.850
0.501 0.501 0.150
0.239 0.755 0.711
0.245 0.761 0.289
0.295 0.295 0.798
0.705 0.705 0.202
0.755 0.239 0.711
0.761 0.245 0.289
```

=====

Record 10
# Ba2NbTcN5

A relaxed Ba2NbTcN5 crystal (GGA-PBE, the Alexandria database).

## Properties
space group	Cmc2_1

Cell and atoms, written as POSCAR:
```
Ba2NbTcN5
1.0
1.692 -7.838 0.000
1.692 7.838 0.000
0.000 0.000 11.708
Ba Nb Tc N
4 2 2 10
Direct
0.111 0.889 0.500
0.142 0.858 0.157
0.858 0.142 0.657
0.889 0.111 0.000
0.212 0.788 0.870
0.788 0.212 0.370
0.442 0.558 0.267
0.558 0.442 0.767
0.036 0.964 0.843
0.294 0.706 0.471
0.326 0.674 0.233
0.327 0.673 0.837
0.500 0.500 0.137
0.500 0.500 0.637
0.673 0.327 0.337
0.674 0.326 0.733
0.706 0.294 0.971
0.964 0.036 0.343
```

=====

Record 11
# Tb4Nd19Dy6

A relaxed Tb4Nd19Dy6 crystal (GGA-PBE, the Alexandria database).

## Properties
ΔH_f (0 K)	359	meV/atom
space group	I23

Cell and atoms, written as POSCAR:
```
Tb4Nd19Dy6
1.0
-6.352 6.352 6.352
6.352 -6.352 6.352
6.352 6.352 -6.352
Tb Nd Dy
4 19 6
Direct
0.000 0.000 0.362
0.000 0.362 0.000
0.362 0.000 0.000
0.638 0.638 0.638
0.000 0.000 0.000
0.000 0.259 0.259
0.000 0.741 0.741
0.020 0.220 0.676
0.200 0.980 0.657
0.220 0.676 0.020
0.259 0.000 0.259
0.259 0.259 0.000
0.324 0.544 0.343
0.343 0.324 0.544
0.456 0.780 0.800
0.544 0.343 0.324
0.657 0.200 0.980
0.676 0.020 0.220
0.741 0.000 0.741
0.741 0.741 0.000
0.780 0.800 0.456
0.800 0.456 0.780
0.980 0.657 0.200
0.124 0.500 0.624
0.376 0.876 0.500
0.500 0.376 0.876
0.500 0.624 0.124
0.624 0.124 0.500
0.876 0.500 0.376
```

=====

Record 12
# Zr2Sc8Os

A relaxed Zr2Sc8Os crystal (GGA-PBE, the Alexandria database).

## Properties
ΔH_f (0 K)	-110	meV/atom
space group	C2/m

Cell and atoms, written as POSCAR:
```
Zr2Sc8Os
1.0
8.369 -2.419 0.000
8.369 2.419 0.000
-0.649 0.000 6.164
Zr Sc Os
2 8 1
Direct
0.220 0.220 0.145
0.780 0.780 0.855
0.028 0.028 0.271
0.166 0.166 0.660
0.352 0.352 0.603
0.407 0.407 0.106
0.593 0.593 0.894
0.648 0.648 0.397
0.834 0.834 0.340
0.972 0.972 0.729
0.500 0.500 0.500
```

=====

Record 13
# Sm2Zn3SnAu4

A relaxed Sm2Zn3SnAu4 crystal (GGA-PBE, the Alexandria database).

## Properties
ΔH_f (0 K)	-521	meV/atom
space group	P-4m2

Cell and atoms, written as POSCAR:
```
Sm2Zn3SnAu4
1.0
4.264 0.000 0.000
0.000 4.264 0.000
0.000 0.000 11.596
Sm Zn Sn Au
2 3 1 4
Direct
0.000 0.500 0.241
0.500 0.000 0.759
0.000 0.500 0.868
0.500 0.000 0.132
0.500 0.500 0.500
0.000 0.000 0.500
0.000 0.000 0.000
0.000 0.500 0.652
0.500 0.000 0.348
0.500 0.500 0.000
```

=====

Record 14
# Pr2Nd8Pb

A relaxed Pr2Nd8Pb crystal (GGA-PBE, the Alexandria database).

## Properties
ΔH_f (0 K)	-79	meV/atom
space group	C2/m

Cell and atoms, written as POSCAR:
```
Pr2Nd8Pb
1.0
9.352 -2.542 0.000
9.352 2.542 0.000
-2.148 0.000 7.919
Pr Nd Pb
2 8 1
Direct
0.223 0.223 0.135
0.777 0.777 0.865
0.043 0.043 0.229
0.136 0.136 0.678
0.322 0.322 0.592
0.411 0.411 0.060
0.589 0.589 0.940
0.678 0.678 0.408
0.864 0.864 0.322
0.957 0.957 0.771
0.500 0.500 0.500
```

=====

Record 15
# ReAuSCl2

A relaxed ReAuSCl2 crystal (GGA-PBE, the Alexandria database).

## Properties
space group	P4/mmm

Cell and atoms, written as POSCAR:
```
ReAuSCl2
1.0
4.856 0.000 0.000
0.000 4.856 0.000
0.000 0.000 5.167
Re Au S Cl
1 1 1 2
Direct
0.000 0.000 0.000
0.500 0.500 0.500
0.500 0.500 0.000
0.000 0.500 0.500
0.500 0.000 0.500
```

=====

Record 16
# SrPrNdSm

A relaxed SrPrNdSm crystal (GGA-PBE, the Alexandria database).

## Properties
ΔH_f (0 K)	212	meV/atom
space group	F-43m

Cell and atoms, written as POSCAR:
```
SrPrNdSm
1.0
8.503 0.000 0.000
0.000 8.503 0.000
0.000 0.000 8.503
Sr Pr Nd Sm
4 4 4 4
Direct
0.000 0.000 0.000
0.000 0.500 0.500
0.500 0.000 0.500
0.500 0.500 0.000
0.250 0.250 0.750
0.250 0.750 0.250
0.750 0.250 0.250
0.750 0.750 0.750
0.250 0.250 0.250
0.250 0.750 0.750
0.750 0.250 0.750
0.750 0.750 0.250
0.000 0.000 0.500
0.000 0.500 0.000
0.500 0.000 0.000
0.500 0.500 0.500
```

=====

Record 17
# NaLaAgBr5

A relaxed NaLaAgBr5 crystal (GGA-PBE, the Alexandria database).

## Properties
space group	C2/c

Cell and atoms, written as POSCAR:
```
NaLaAgBr5
1.0
4.243 -6.871 0.000
4.243 6.871 0.000
-3.802 0.000 10.120
Na La Ag Br
2 2 2 10
Direct
0.070 0.930 0.750
0.930 0.070 0.250
0.500 0.500 0.000
0.500 0.500 0.500
0.215 0.785 0.250
0.785 0.215 0.750
0.077 0.245 0.947
0.147 0.492 0.358
0.245 0.077 0.447
0.411 0.589 0.750
0.492 0.147 0.858
0.508 0.853 0.142
0.589 0.411 0.250
0.755 0.923 0.553
0.853 0.508 0.642
0.923 0.755 0.053
```

=====

Record 18
# ThZn11Ge

A relaxed ThZn11Ge crystal (GGA-PBE, the Alexandria database).

## Properties
ΔH_f (0 K)	-108	meV/atom
space group	C2/m

Cell and atoms, written as POSCAR:
```
ThZn11Ge
1.0
2.743 -6.362 0.000
2.743 6.362 0.000
-2.555 0.000 6.197
Th Zn Ge
1 11 1
Direct
0.000 0.000 0.000
0.000 0.500 0.000
0.010 0.370 0.355
0.294 0.514 0.787
0.370 0.010 0.355
0.486 0.706 0.213
0.500 0.000 0.000
0.500 0.500 0.500
0.514 0.294 0.787
0.630 0.990 0.645
0.706 0.486 0.213
0.990 0.630 0.645
0.000 0.000 0.500
```

=====

Record 19
# SrAs2

A relaxed SrAs2 crystal (GGA-PBE, the Alexandria database).

## Properties
ΔH_f (0 K)	-335	meV/atom
space group	Pa-3

Cell and atoms, written as POSCAR:
```
SrAs2
1.0
7.459 0.000 0.000
0.000 7.459 0.000
0.000 0.000 7.459
Sr As
4 8
Direct
0.000 0.000 0.000
0.000 0.500 0.500
0.500 0.000 0.500
0.500 0.500 0.000
0.089 0.589 0.911
0.089 0.911 0.411
0.411 0.089 0.911
0.411 0.411 0.411
0.589 0.589 0.589
0.589 0.911 0.089
0.911 0.089 0.589
0.911 0.411 0.089
```

=====

Record 20
# InBi2Te2

A relaxed InBi2Te2 crystal (GGA-PBE, the Alexandria database).

## Properties
space group	P4/mbm

Cell and atoms, written as POSCAR:
```
InBi2Te2
1.0
8.776 0.000 0.000
0.000 8.776 0.000
0.000 0.000 4.312
In Bi Te
2 4 4
Direct
0.000 0.000 0.000
0.500 0.500 0.000
0.165 0.335 0.000
0.335 0.835 0.000
0.665 0.165 0.000
0.835 0.665 0.000
0.160 0.660 0.500
0.340 0.160 0.500
0.660 0.840 0.500
0.840 0.340 0.500
```

=====

Number 1: total magnetic moment 0.000 μB per atom, raw total energy -0.3226 Ry/atom. Number 2: total magnetic moment 0.000 μB per atom, raw total energy -0.1544 Ry/atom. Number 3: total magnetic moment 0.000 μB per atom, raw total energy -0.2634 Ry/atom. Number 4: total magnetic moment 0.000 μB per atom, raw total energy -0.2485 Ry/atom. Number 5: total magnetic moment 0.000 μB per atom, raw total energy -0.1741 Ry/atom. Number 6: total magnetic moment 0.000 μB per atom, raw total energy -0.7056 Ry/atom. Number 7: total magnetic moment 0.000 μB per atom, raw total energy -0.3049 Ry/atom. Number 8: total magnetic moment 0.250 μB per atom, raw total energy -0.3750 Ry/atom. Number 9: total magnetic moment 0.000 μB per atom, raw total energy -0.3590 Ry/atom. Number 10: total magnetic moment 0.000 μB per atom, raw total energy -0.5790 Ry/atom. Number 11: total magnetic moment 0.000 μB per atom, raw total energy -0.3201 Ry/atom. Number 12: total magnetic moment 0.000 μB per atom, raw total energy -0.5358 Ry/atom. Number 13: total magnetic moment 0.000 μB per atom, raw total energy -0.2615 Ry/atom. Number 14: total magnetic moment 0.000 μB per atom, raw total energy -0.3493 Ry/atom. Number 15: total magnetic moment 1.050 μB per atom, raw total energy -0.2586 Ry/atom. Number 16: total magnetic moment 0.126 μB per atom, raw total energy -0.2775 Ry/atom. Number 17: total magnetic moment 0.000 μB per atom, raw total energy -0.2659 Ry/atom. Number 18: total magnetic moment 0.000 μB per atom, raw total energy -0.1552 Ry/atom. Number 19: total magnetic moment 0.480 μB per atom, raw total energy -0.2937 Ry/atom. Number 20: total magnetic moment 0.000 μB per atom, raw total energy -0.2481 Ry/atom.